1.
VASP calculation (GGA-PBE) on an optimized crystal structure of Zn2InMoN4.

a b c (Å): 5.6810 5.6810 5.6810
angles (deg): 128.59 128.59 75.68
With the nearest neighbours (Å) after each atom.
Positions (direct):
Zn1 0.2500 0.7500 0.5000  4 N 2.08
Zn2 0.7500 0.2500 0.5000  4 N 2.08
In1 0.0000 0.0000 0.0000  4 N 2.23
Mo1 0.5000 0.5000 0.0000  4 N 1.91
N1 0.1529 0.5979 0.0000  1 Mo 1.91, 2 Zn 2.08
N2 0.4021 0.4021 0.5550  1 Mo 1.91, 2 Zn 2.08
N3 0.5979 0.1529 0.0000  1 Mo 1.91, 2 Zn 2.08
N4 0.8471 0.8471 0.4450  1 Mo 1.91, 2 Zn 2.08

Summary:
Raw formation energy in eV/atom: -0.046
DOS at the Fermi energy in states/eV/cell: 1.81



2.
VASP calculation (GGA-PBE) on an optimized crystal structure of Ho6Mg2Hg.

a b c (Å): 6.2214 9.3991 10.1631
angles (deg): 90.00 117.34 90.00
With the nearest neighbours (Å) after each atom.
Positions (direct):
Ho1 0.0608 0.1678 0.4640  3 Mg 3.02-3.33, 1 Hg 3.19
Ho2 0.0608 0.3322 0.9640  3 Mg 3.02-3.33, 1 Hg 3.19
Ho3 0.3577 0.6915 0.4314  3 Mg 3.18-3.42, 1 Hg 3.18, 3 Ho 3.44-3.53
Ho4 0.3577 0.8085 0.9314  3 Mg 3.18-3.42, 1 Hg 3.18, 3 Ho 3.44-3.53
Ho5 0.4305 0.0392 0.3112  1 Hg 3.09, 1 Mg 3.43, 1 Ho 3.44
Ho6 0.4305 0.4608 0.8112  1 Hg 3.09, 1 Mg 3.43, 1 Ho 3.44
Ho7 0.5695 0.5392 0.1888  1 Hg 3.09, 1 Mg 3.43, 1 Ho 3.44
Ho8 0.5695 0.9608 0.6888  1 Hg 3.09, 1 Mg 3.43, 1 Ho 3.44
Ho9 0.6423 0.1915 0.0686  3 Mg 3.18-3.42, 1 Hg 3.18, 3 Ho 3.44-3.53
Ho10 0.6423 0.3085 0.5686  3 Mg 3.18-3.42, 1 Hg 3.18, 3 Ho 3.44-3.53
Ho11 0.9392 0.6678 0.0360  3 Mg 3.02-3.33, 1 Hg 3.19
Ho12 0.9392 0.8322 0.5360  3 Mg 3.02-3.33, 1 Hg 3.19
Mg1 0.1399 0.1032 0.7738  1 Hg 2.97, 4 Ho 3.02-3.29
Mg2 0.1399 0.3968 0.2738  1 Hg 2.97, 4 Ho 3.02-3.29
Mg3 0.8601 0.6032 0.7262  1 Hg 2.97, 4 Ho 3.02-3.29
Mg4 0.8601 0.8968 0.2262  1 Hg 2.97, 4 Ho 3.02-3.29
Hg1 0.0000 0.0000 0.0000  2 Mg 2.97, 6 Ho 3.09-3.19
Hg2 0.0000 0.5000 0.5000  2 Mg 2.97, 6 Ho 3.09-3.19

Summary:
Energy of formation in eV per atom: 0.0122
DOS at the Fermi energy in states/eV/cell: 21.20



3.
VASP calculation (GGA-PBE) on an optimized crystal structure of YV2Pb2.

a b c (Å): 5.9683 5.9683 5.9683
angles (deg): 132.02 132.02 70.20
With the nearest neighbours (Å) after each atom.
Positions (direct):
Y1 0.0000 0.0000 0.0000  8 Pb 3.44, 8 V 3.55
V1 0.4057 0.4057 0.0000  1 V 1.84
V2 0.5943 0.5943 0.0000  1 V 1.84
Pb1 0.2500 0.7500 0.5000  4 V 2.86
Pb2 0.7500 0.2500 0.5000  4 V 2.86

Summary:
Energy of formation in eV per atom: 0.1825
DOS at the Fermi energy in states/eV/cell: 3.84
Energy above the most stable polymorph in this dataset in eV/f.u.: 0.000



4.
VASP calculation (GGA-PBE) on an optimized crystal structure of LiZrS2N.

a b c (Å): 4.4598 4.4598 3.5835
angles (deg): 90.00 90.00 90.00
With the nearest neighbours (Å) after each atom.
Positions (direct):
Li1 0.0000 0.0000 0.0000  2 N 1.79
Zr1 0.5000 0.5000 0.5000  8 S 2.86, 4 N 3.15
S1 0.0000 0.5000 0.0000  2 Li 2.23
S2 0.5000 0.0000 0.0000  2 Li 2.23
N1 0.0000 0.0000 0.5000  2 Li 1.79

Summary:
Raw formation energy in eV/atom: 0.154
DOS at the Fermi energy in states/eV/cell: 3.72
Energy above the most stable polymorph in this dataset in eV/f.u.: 3.072



5.
VASP calculation (GGA-PBE) on an optimized crystal structure of Na5Cd4Au.

a b c (Å): 3.3725 4.6821 15.7535
angles (deg): 90.00 90.00 90.00
With the nearest neighbours (Å) after each atom.
Positions (direct):
Na1 0.0000 0.0000 0.0000  4 Na 3.24-3.37, 8 Cd 3.33
Na2 0.0000 0.0000 0.2059  4 Na 3.21-3.37, 8 Cd 3.29-3.34
Na3 0.0000 0.0000 0.4098  1 Na 2.84
Na4 0.0000 0.0000 0.5902  1 Na 2.84
Na5 0.0000 0.0000 0.7941  4 Na 3.21-3.37, 8 Cd 3.29-3.34
Cd1 0.5000 0.5000 0.1052  4 Cd 3.26-3.37, 8 Na 3.29-3.33
Cd2 0.5000 0.5000 0.3122  1 Au 2.96, 1 Cd 3.26, 4 Na 3.27
Cd3 0.5000 0.5000 0.6878  1 Au 2.96, 1 Cd 3.26, 4 Na 3.27
Cd4 0.5000 0.5000 0.8948  4 Cd 3.26-3.37, 8 Na 3.29-3.33
Au1 0.5000 0.5000 0.5000  2 Cd 2.96, 8 Na 3.22

Summary:
Energy of formation in eV per atom: -0.1136
DOS at the Fermi energy in states/eV/cell: 2.31



6.
VASP calculation (GGA-PBE) on an optimized crystal structure of Dy2Er2Au3.

a b c (Å): 4.9991 5.0035 8.7575
angles (deg): 106.32 90.18 119.97
With the nearest neighbours (Å) after each atom.
Positions (direct):
Dy1 0.1242 0.2489 0.3740  5 Au 2.98-3.10
Dy2 0.8758 0.7511 0.6260  5 Au 2.98-3.10
Er1 0.3746 0.7494 0.1245  7 Au 3.06-3.23
Er2 0.6254 0.2506 0.8755  7 Au 3.06-3.23
Au1 0.0000 0.0000 0.0000  6 Er 3.06-3.07, 2 Dy 3.10
Au2 0.2449 0.4895 0.7341  4 Dy 2.98-3.03, 4 Er 3.11-3.23
Au3 0.7551 0.5105 0.2659  4 Dy 2.98-3.03, 4 Er 3.11-3.23

Summary:
Energy of formation in eV per atom: -0.7001
DOS at the Fermi energy in states/eV/cell: 4.92



7.
VASP calculation (GGA-PBE) on an optimized crystal structure of Na3Pu2CrSe6.

a b c (Å): 7.0270 7.0270 7.3531
angles (deg): 99.20 99.20 120.04
With the nearest neighbours (Å) after each atom.
Positions (direct):
Na1 0.0000 0.0000 0.0000  6 Se 2.98-3.17
Na2 0.3313 0.6687 0.0000  6 Se 2.99-3.13
Na3 0.6687 0.3313 0.0000  6 Se 2.99-3.13
Pu1 0.1666 0.8334 0.5000  6 Se 2.87
Pu2 0.8334 0.1666 0.5000  6 Se 2.87
Cr1 0.5000 0.5000 0.5000  6 Se 2.67-2.69
Se1 0.1135 0.4257 0.2774  1 Cr 2.69, 2 Pu 2.87, 2 Na 2.98-2.99
Se2 0.2628 0.2628 0.7206  1 Cr 2.67, 2 Pu 2.87
Se3 0.4257 0.1135 0.2774  1 Cr 2.69, 2 Pu 2.87, 2 Na 2.98-2.99
Se4 0.5743 0.8865 0.7226  1 Cr 2.69, 2 Pu 2.87, 2 Na 2.98-2.99
Se5 0.7372 0.7372 0.2794  1 Cr 2.67, 2 Pu 2.87
Se6 0.8865 0.5743 0.7226  1 Cr 2.69, 2 Pu 2.87, 2 Na 2.98-2.99

Summary:
Raw formation energy in eV/atom: -1.179
DOS at the Fermi energy in states/eV/cell: 18.55



8.
VASP calculation (GGA-PBE) on an optimized crystal structure of Li2In2Pt.

a b c (Å): 7.7806 7.7806 7.7806
angles (deg): 153.63 153.63 37.64
With the nearest neighbours (Å) after each atom.
Positions (direct):
Li1 0.2500 0.7500 0.5000  4 Li 2.51
Li2 0.7500 0.2500 0.5000  4 Li 2.51
In1 0.0998 0.0998 0.0000  4 Li 2.84, 4 Pt 2.91, 1 In 2.94
In2 0.9002 0.9002 0.0000  4 Li 2.84, 4 Pt 2.91, 1 In 2.94
Pt1 0.5000 0.5000 0.0000  8 In 2.91

Summary:
Energy of formation in eV per atom: -0.2255
DOS at the Fermi energy in states/eV/cell: 1.47



Number 1: ρ 6.1 g/cm³. Number 2: ρ 7.8 g/cm³. Number 3: ρ 8.7 g/cm³. Number 4: ρ 4.1 g/cm³. Number 5: ρ 5.1 g/cm³. Number 6: ρ 11.6 g/cm³. Number 7: ρ 6.0 g/cm³. Number 8: ρ 7.8 g/cm³.